The following is a GGA-PBE calculation of crystalline InHgF at its relaxed geometry, from Alexandria.

## Properties
Its uncorrected formation energy is -1.051 eV/atom. The value obtained for the distance to the lowest polymorph of the same formula is 86 meV/atom.

Cell and atoms, written as extended XYZ:
```
9
Lattice="3.719 2.147 5.269 -3.719 2.147 5.269 0.000 -4.294 5.269" Properties=species:S:1:pos:R:3 pbc="T T T"
In -1.360 -1.699 5.269
In -0.791 2.028 5.269
In 2.152 -0.328 5.269
Hg 0.000 0.000 2.556
Hg 0.000 0.000 7.913
Hg 0.000 0.000 14.065
F -1.734 -0.341 11.159
F 1.162 -1.331 11.159
F 0.571 1.672 11.159
```

The following is a GGA-PBE calculation of crystalline La2P3Rh4Au at its relaxed geometry, from Alexandria.

## Properties
The value obtained for the formation energy is -0.93 eV/atom.

Cell and atoms, written as extended XYZ:
```
10
Lattice="4.066 0.000 0.000 0.000 4.066 0.000 0.000 0.000 10.843" Properties=species:S:1:pos:R:3 pbc="T T T"
La 0.000 2.033 2.649
La 2.033 0.000 8.193
P 0.000 0.000 0.000
P 0.000 2.033 6.742
P 2.033 0.000 4.101
Rh 0.000 0.000 5.421
Rh 0.000 2.033 9.003
Rh 2.033 0.000 1.840
Rh 2.033 2.033 5.421
Au 2.033 2.033 0.000
```

The following is a GGA-PBE calculation of crystalline Nd3Sm4S8 at its relaxed geometry, from Alexandria.

## Properties
Its uncorrected formation energy is -2.047 eV/atom.

Cell and atoms, written as extended XYZ:
```
15
Lattice="5.699 -5.700 0.000 5.699 5.700 0.000 -5.687 0.000 5.701" Properties=species:S:1:pos:R:3 pbc="T T T"
Nd 0.000 0.000 0.000
Nd 2.850 2.850 0.000
Nd 2.850 -2.850 0.000
Sm 0.006 2.850 2.851
Sm 0.006 -2.850 2.851
Sm 5.699 0.000 0.000
Sm 2.856 0.000 2.851
S 2.856 2.837 2.851
S 5.699 2.830 0.000
S 2.870 0.000 0.016
S 0.017 0.000 2.870
S 5.695 0.000 2.831
S 2.842 0.000 5.686
S 5.699 -2.830 0.000
S 2.856 -2.837 2.851
```

The following is a GGA-PBE calculation of crystalline Pr3Ge at its relaxed geometry, from Alexandria.

## Properties
The value obtained for the formation energy is -0.34 eV/atom. The value obtained for the distance to the lowest polymorph of the same formula is 108 meV/atom.

Cell and atoms, written as extended XYZ:
```
4
Lattice="4.859 0.000 0.000 0.000 4.859 0.000 0.000 0.000 4.859" Properties=species:S:1:pos:R:3 pbc="T T T"
Pr 0.000 0.000 2.430
Pr 0.000 2.430 0.000
Pr 2.430 0.000 0.000
Ge 2.430 2.430 2.430
```

The following is a GGA-PBE calculation of crystalline Ac2CePb9 at its relaxed geometry, from Alexandria.

## Properties
The value obtained for the formation energy is -0.39 eV/atom.

Cell and atoms, written as extended XYZ:
```
12
Lattice="5.024 0.000 0.000 0.000 5.024 0.000 0.000 0.000 15.029" Properties=species:S:1:pos:R:3 pbc="T T T"
Ac 0.000 0.000 2.582
Ac 0.000 0.000 12.447
Ce 0.000 0.000 7.514
Pb 0.000 2.512 0.000
Pb 0.000 2.512 5.129
Pb 0.000 2.512 9.900
Pb 2.512 0.000 0.000
Pb 2.512 0.000 5.129
Pb 2.512 0.000 9.900
Pb 2.512 2.512 2.545
Pb 2.512 2.512 7.514
Pb 2.512 2.512 12.484
```

The following is a GGA-PBE calculation of crystalline LaMgGe2Pd2 at its relaxed geometry, from Alexandria.

## Properties
The value obtained for the formation energy is -0.79 eV/atom.

Cell and atoms, written as extended XYZ:
```
6
Lattice="4.376 0.000 0.000 -2.188 3.790 0.000 0.000 0.000 7.143" Properties=species:S:1:pos:R:3 pbc="T T T"
La 0.000 0.000 0.000
Mg 0.000 0.000 3.572
Ge 0.000 2.527 1.966
Ge 2.188 1.263 5.178
Pd 0.000 2.527 4.735
Pd 2.188 1.263 2.408
```

The following is a GGA-PBE calculation of crystalline Y2URu4 at its relaxed geometry, from Alexandria.

## Properties
The value obtained for the formation energy is -0.06 eV/atom.

Cell and atoms, written as extended XYZ:
```
7
Lattice="-2.234 2.234 6.893 2.234 -2.234 6.893 2.234 2.234 -6.893" Properties=species:S:1:pos:R:3 pbc="T T T"
Y 0.000 0.000 3.305
Y 0.000 0.000 10.481
U 0.000 0.000 6.893
Ru 2.234 0.000 1.414
Ru 2.234 0.000 5.479
Ru 0.000 2.234 1.414
Ru 0.000 2.234 5.479
```

The following is a GGA-PBE calculation of crystalline Ac8GaSn5 at its relaxed geometry, from Alexandria.

## Properties
The value obtained for the formation energy is -0.63 eV/atom.

Cell and atoms, written as extended XYZ:
```
14
Lattice="-5.061 5.061 5.097 5.061 -5.061 5.097 5.061 5.061 -5.097" Properties=species:S:1:pos:R:3 pbc="T T T"
Ac 1.825 -0.730 1.984
Ac 4.383 1.882 -0.546
Ac 3.236 5.791 -3.112
Ac 3.179 -0.678 5.643
Ac 1.882 5.739 0.546
Ac 4.331 3.236 3.112
Ac 0.678 3.179 4.551
Ac 0.730 1.825 8.209
Ga 0.000 0.000 5.097
Sn 5.061 0.000 2.548
Sn 1.251 2.516 1.279
Sn -2.545 3.811 3.818
Sn -1.251 7.606 1.279
Sn 2.545 6.312 3.818
```

The following is a GGA-PBE calculation of crystalline PrMgSi at its relaxed geometry, from Alexandria.

## Properties
Its uncorrected formation energy is -0.414 eV/atom.

Cell and atoms, written as extended XYZ:
```
3
Lattice="4.472 0.000 0.000 -2.236 3.872 0.000 0.000 0.000 4.236" Properties=species:S:1:pos:R:3 pbc="T T T"
Pr 0.000 0.000 0.000
Mg 2.236 1.291 2.118
Si 0.000 2.582 2.118
```

The following is a GGA-PBE calculation of crystalline LaPu2Cu6 at its relaxed geometry, from Alexandria.

## Properties
The value obtained for the formation energy is -0.04 eV/atom.

Cell and atoms, written as extended XYZ:
```
9
Lattice="7.584 0.000 0.000 -3.792 6.568 0.000 0.000 0.000 3.446" Properties=species:S:1:pos:R:3 pbc="T T T"
La 0.000 0.000 0.000
Pu 0.000 4.379 0.000
Pu 3.792 2.189 0.000
Cu -1.276 2.210 1.723
Cu -2.516 4.358 1.723
Cu 2.552 0.000 1.723
Cu 1.276 2.210 1.723
Cu 5.032 0.000 1.723
Cu 2.516 4.358 1.723
```

The following is a GGA-PBE calculation of crystalline La2TbSmY5 at its relaxed geometry, from Alexandria.

## Properties
The value obtained for the formation energy is 0.24 eV/atom.

Cell and atoms, written as extended XYZ:
```
18
Lattice="-4.339 4.339 7.970 4.339 -4.339 7.970 4.339 4.339 -7.970" Properties=species:S:1:pos:R:3 pbc="T T T"
La 5.362 1.024 0.000
La 1.024 3.315 0.000
La 3.315 1.024 7.970
La -1.024 3.315 7.970
Tb 0.000 0.000 3.985
Tb 0.000 0.000 11.955
Sm 4.339 0.000 3.985
Sm 0.000 4.339 3.985
Y 0.000 0.000 0.000
Y 2.488 1.851 -2.246
Y 2.488 -1.851 5.723
Y 2.488 1.851 2.246
Y 2.488 -1.851 10.216
Y 0.000 0.000 7.970
Y 1.851 6.190 -2.246
Y 1.851 2.488 5.723
Y 1.851 6.190 2.246
Y 1.851 2.488 10.216
```

The following is a GGA-PBE calculation of crystalline SrSI2O at its relaxed geometry, from Alexandria.

## Properties
Its uncorrected formation energy is -0.101 eV/atom. The value obtained for the distance to the lowest polymorph of the same formula is 391 meV/atom.

Cell and atoms, written as extended XYZ:
```
5
Lattice="6.600 0.000 0.000 0.000 6.600 0.000 0.000 0.000 4.465" Properties=species:S:1:pos:R:3 pbc="T T T"
Sr 0.000 0.000 0.000
S 3.300 3.300 2.233
I 0.000 3.300 0.000
I 3.300 0.000 0.000
O 0.000 0.000 2.233
```